[1]
Here is a geometry-optimized BaZnCr2 structure from the Alexandria database. Energies are from PBE-GGA.

POSCAR file:
```
BaZnCr2
1.0
2.205 1.273 6.089
-2.205 1.273 6.089
0.000 -2.546 6.089
Ba Zn Cr
1 1 2
Cartesian
0.000 0.000 0.000
0.000 0.000 3.514
0.000 0.000 8.810
0.000 0.000 14.781
```

Summary:
Energy of formation   135 kJ/mol of formula units
Crystal system   trigonal

---

[2]
Here is a geometry-optimized BaZn2Cr structure from the Alexandria database. Energies are from PBE-GGA.

POSCAR file:
```
BaZn2Cr
1.0
3.924 -2.265 0.000
3.924 2.265 0.000
-2.588 0.000 5.817
Ba Zn Cr
1 2 1
Cartesian
0.000 0.000 0.000
2.643 0.000 2.964
5.258 0.000 2.548
0.027 0.000 3.275
```

Summary:
Energy of formation   49 kJ/mol of formula units
Crystal system   monoclinic

---

[3]
Here is a geometry-optimized BaZnCr2 structure from the Alexandria database. Energies are from PBE-GGA.

POSCAR file:
```
BaZnCr2
1.0
3.095 0.000 0.000
0.000 4.568 0.000
-1.268 0.000 6.372
Ba Zn Cr
1 1 2
Cartesian
0.000 0.000 0.000
0.914 0.000 3.186
0.060 2.284 3.924
1.767 2.284 2.448
```

Summary:
Energy of formation   295 kJ/mol of formula units
Crystal system   monoclinic

---

[4]
Here is a geometry-optimized BaZn2Cr structure from the Alexandria database. Energies are from PBE-GGA.

POSCAR file:
```
BaZn2Cr
1.0
0.000 3.646 3.646
3.646 0.000 3.646
3.646 3.646 0.000
Ba Zn Cr
1 2 1
Cartesian
0.000 0.000 0.000
3.646 3.646 3.646
5.469 5.469 5.469
1.823 1.823 1.823
```

Summary:
Energy of formation   168 kJ/mol of formula units
Crystal system   cubic

---

[5]
Here is a geometry-optimized BaZn2Cr structure from the Alexandria database. Energies are from PBE-GGA.

POSCAR file:
```
BaZn2Cr
1.0
4.977 0.000 0.000
0.000 4.977 0.000
0.000 0.000 4.237
Ba Zn Cr
1 2 1
Cartesian
0.000 0.000 0.000
0.000 2.489 2.118
2.489 0.000 2.118
2.489 2.489 0.000
```

Summary:
Energy of formation   191 kJ/mol of formula units
Crystal system   tetragonal

---

[6]
Here is a geometry-optimized BaZn2Cr structure from the Alexandria database. Energies are from PBE-GGA.

POSCAR file:
```
BaZn2Cr
1.0
3.958 -2.266 0.000
3.958 2.266 0.000
-2.409 0.000 5.826
Ba Zn Cr
1 2 1
Cartesian
0.000 0.000 0.000
0.130 0.000 3.309
5.378 0.000 2.517
2.754 0.000 2.913
```

Summary:
Energy of formation   43 kJ/mol of formula units
Crystal system   monoclinic

---

[7]
Here is a geometry-optimized BaZnCr2 structure from the Alexandria database. Energies are from PBE-GGA.

POSCAR file:
```
BaZnCr2
1.0
4.729 0.000 0.000
0.000 4.729 0.000
0.000 0.000 4.410
Ba Zn Cr
1 1 2
Cartesian
0.000 0.000 0.000
2.364 2.364 0.000
0.000 2.364 2.205
2.364 0.000 2.205
```

Summary:
Energy of formation   365 kJ/mol of formula units
Crystal system   tetragonal

---

[8]
Here is a geometry-optimized BaZn2Cr structure from the Alexandria database. Energies are from PBE-GGA.

POSCAR file:
```
BaZn2Cr
1.0
3.317 0.000 0.000
0.000 3.632 0.000
0.000 0.000 7.522
Ba Zn Cr
1 2 1
Cartesian
0.000 0.000 0.000
1.658 1.816 2.457
1.658 1.816 5.065
0.000 0.000 3.761
```

Summary:
Energy of formation   90 kJ/mol of formula units
Crystal system   orthorhombic

---

[9]
Here is a geometry-optimized BaZnCr2 structure from the Alexandria database. Energies are from PBE-GGA.

POSCAR file:
```
BaZnCr2
1.0
3.237 0.000 0.000
0.000 3.231 0.000
-0.019 0.000 7.998
Ba Zn Cr
1 1 2
Cartesian
0.000 0.000 0.000
1.608 1.615 2.588
1.604 1.615 5.231
3.222 0.000 4.153
```

Summary:
Energy of formation   176 kJ/mol of formula units
Crystal system   monoclinic

---

[10]
Here is a geometry-optimized Ba2ZrCr structure from the Alexandria database. Energies are from PBE-GGA.

POSCAR file:
```
Ba2ZrCr
1.0
1.839 1.062 11.624
-1.839 1.062 11.624
0.000 -2.123 11.624
Ba Zr Cr
2 1 1
Cartesian
0.000 0.000 8.666
0.000 0.000 26.205
0.000 0.000 0.000
0.000 0.000 17.435
```

Summary:
Energy of formation   364 kJ/mol of formula units
Crystal system   trigonal
Distance to the lowest polymorph of the same formula   412 meV/atom

---

[11]
Here is a geometry-optimized BaZr2Cr structure from the Alexandria database. Energies are from PBE-GGA.

POSCAR file:
```
BaZr2Cr
1.0
4.915 -1.633 0.000
4.915 1.633 0.000
-0.707 0.000 7.056
Ba Zr Cr
1 2 1
Cartesian
0.000 0.000 0.000
4.742 0.000 3.778
7.391 0.000 2.460
2.064 0.000 4.681
```

Summary:
Energy of formation   247 kJ/mol of formula units
Crystal system   monoclinic
Distance to the lowest polymorph of the same formula   254 meV/atom

---

[12]
Here is a geometry-optimized Ba2ZrCr structure from the Alexandria database. Energies are from PBE-GGA.

POSCAR file:
```
Ba2ZrCr
1.0
5.322 0.000 0.000
0.000 5.322 0.000
0.000 0.000 4.883
Ba Zr Cr
2 1 1
Cartesian
0.000 2.661 0.000
2.661 0.000 0.000
0.000 0.000 2.442
2.661 2.661 2.442
```

Summary:
Energy of formation   354 kJ/mol of formula units
Crystal system   tetragonal
Distance to the lowest polymorph of the same formula   385 meV/atom

---

| no. | DOS at the Fermi energy (states/eV per atom) |
| --- | --- |
| 1 | 0.535 |
| 2 | 0.548 |
| 3 | 1.339 |
| 4 | 0.479 |
| 5 | 0.616 |
| 6 | 0.733 |
| 7 | 0.819 |
| 8 | 0.717 |
| 9 | 0.845 |
| 10 | 1.522 |
| 11 | 1.232 |
| 12 | 1.450 |